Entry 1:
DFT (PBE-GGA) results for a relaxed structure of CeNpCd17.

The value obtained for the calculated formation energy is -20.7 meV/atom. Its crystal system is trigonal.

It has space group R3m (No. 160, hexagonal axes), with a = 10.0733 Å, b = 10.0733 Å, c = 15.0455 Å, α = 90.00°, β = 90.00° and γ = 120.00°. The distinct sites, in fractional coordinates, are Ce at (0.0000, 0.0000, 0.0000), Np at (0.0000, 0.0000, 0.6612), Cd at (0.0000, 0.0000, 0.2383), Cd at (0.0000, 0.0000, 0.4370), Cd at (0.0020, 0.3026, 0.3328), Cd at (0.0129, 0.5064, 0.1885), Cd at (0.0233, 0.5116, 0.8282) and Cd at (0.0456, 0.5228, 0.4829).

Entry 2:
DFT (PBE-GGA) results for a relaxed structure of TbNpSn2.

For the energy above the most stable polymorph in this dataset, the calculation gives 7 meV per atom. The value obtained for the calculated formation energy is -249.6 meV/atom. Its crystal system is tetragonal.

It has space group P4/mmm (No. 123), with a = 3.979 Å, b = 3.979 Å, c = 6.692 Å, α = 90.00°, β = 90.00° and γ = 90.00°. The distinct sites, in fractional coordinates, are Tb at (0.000, 0.000, 0.000), Np at (0.000, 0.000, 0.500) and Sn at (0.500, 0.500, 0.244).

Entry 3:
DFT (PBE-GGA) results for a relaxed structure of La4Dy3PaP8.

The value obtained for the calculated formation energy is -1561.4 meV/atom. Its crystal system is trigonal.

It has space group R-3m (No. 166, hexagonal axes), with a = 8.2325 Å, b = 8.2325 Å, c = 20.3220 Å, α = 90.00°, β = 90.00° and γ = 120.00°. The distinct sites, in fractional coordinates, are La at (0.0000, 0.0000, 0.0000), La at (0.0000, 0.5000, 0.0000), Dy at (0.0000, 0.5000, 0.5000), Pa at (0.0000, 0.0000, 0.5000), P at (0.0000, 0.0000, 0.2454) and P at (0.0058, 0.5029, 0.2436).

Entry 4:
DFT (PBE-GGA) results for a relaxed structure of Zr2FePd.

The value obtained for the calculated formation energy is 46.8 meV/atom. Its crystal system is tetragonal.

It has space group I-42d (No. 122), with a = 7.114 Å, b = 7.114 Å, c = 5.779 Å, α = 90.00°, β = 90.00° and γ = 90.00°. The distinct sites, in fractional coordinates, are Zr at (0.226, 0.750, 0.125), Fe at (0.000, 0.000, 0.000) and Pd at (0.000, 0.000, 0.500).

Entry 5:
DFT (PBE-GGA) results for a relaxed structure of Pm4DyHo10.

The value obtained for the calculated formation energy is 755.3 meV/atom. Its crystal system is tetragonal.

It has space group I4/m (No. 87), with a = 12.178 Å, b = 12.178 Å, c = 7.698 Å, α = 90.00°, β = 90.00° and γ = 90.00°. The distinct sites, in fractional coordinates, are Pm at (0.101, 0.701, 0.000), Dy at (0.000, 0.000, 0.500), Ho at (0.000, 0.500, 0.250) and Ho at (0.099, 0.199, 0.252).

Entry 6:
DFT (PBE-GGA) results for a relaxed structure of YAlCd.

The value obtained for the calculated formation energy is -396.7 meV/atom. Its crystal system is monoclinic.

It has space group Cm (No. 8), with a = 10.912 Å, b = 4.699 Å, c = 7.183 Å, α = 90.00°, β = 131.16° and γ = 90.00°. The distinct sites, in fractional coordinates, are Y at (0.000, 0.000, 0.000), Y at (0.004, 0.000, 0.500), Al at (0.162, 0.500, 0.900), Al at (0.341, 0.000, 0.576), Cd at (0.174, 0.500, 0.431) and Cd at (0.329, 0.000, 0.092).

Entry 7:
DFT (PBE-GGA) results for a relaxed structure of TaCr2Cl.

For the energy above the most stable polymorph in this dataset, the calculation gives 431 meV per atom. The calculation puts the energy relative to the elements, uncorrected at 0.52 eV per atom. Its crystal system is monoclinic.

It has space group P2/m (No. 10), with a = 2.997 Å, b = 4.109 Å, c = 5.004 Å, α = 90.00°, β = 90.11° and γ = 90.00°. The distinct sites, in fractional coordinates, are Ta at (0.000, 0.000, 0.000), Cr at (0.500, 0.500, 0.202) and Cl at (0.500, 0.000, 0.500).

Entry 8:
DFT (PBE-GGA) results for a relaxed structure of Ag2Sn3.

The value obtained for the calculated formation energy is 91.5 meV/atom. Its crystal system is orthorhombic.

It has space group Fdd2 (No. 43), with a = 9.023 Å, b = 25.320 Å, c = 4.315 Å, α = 90.00°, β = 90.00° and γ = 90.00°. The distinct sites, in fractional coordinates, are Ag at (0.049, 0.204, 0.000), Sn at (0.000, 0.000, 0.228) and Sn at (0.107, 0.088, 0.744).

Calculated uncorrected energy (eV per atom), listed in the same order as above: -1.833; -6.644; -6.955; -7.641; -3.870; -4.104; -7.716; -3.451
Calculated magnetization (μB per atom), listed in the same order as above: 0.300; 1.177; 0.000; 0.000; 0.000; 0.000; 0.000; 0.000